1.
Below is a relaxed K2LaPuO4 crystal, with properties calculated at the GGA-PBE level.

Unit cell a=6.340 b=3.654 c=6.633 alpha=90.00 beta=108.70 gamma=90.00
Space group P2/m (No. 10)
Inequivalent atoms, fractional coordinates:
K 0.000 0.000 0.000
K 0.500 0.500 0.000
La 0.000 0.500 0.500
Pu 0.500 0.000 0.500
O 0.238 0.000 0.691
O 0.281 0.500 0.313

Energy, eV per formula unit: -61.32

2.
Below is a relaxed PmSmBi crystal, with properties calculated at the GGA-PBE level.

Unit cell a=9.224 b=5.332 c=8.896 alpha=90.00 beta=110.29 gamma=90.00
Space group C2/m (No. 12)
Inequivalent atoms, fractional coordinates:
Pm 0.213 0.000 0.139
Sm 0.132 0.500 0.396
Bi 0.080 0.000 0.742

ΔE to the lowest computed polymorph, meV per atom: 272.1
DFT formation energy, eV/atom: -0.380

3.
Below is a relaxed Ca2Y2Ir3 crystal, with properties calculated at the GGA-PBE level.

Unit cell a=8.353 b=4.825 c=8.496 alpha=90.00 beta=109.20 gamma=90.00
Space group C2/m (No. 12)
Inequivalent atoms, fractional coordinates:
Ca 0.127 0.000 0.381
Y 0.124 0.500 0.870
Ir 0.000 0.000 0.000
Ir 0.244 0.500 0.230

DFT formation energy, eV/atom: -0.536

4.
Below is a relaxed SmEr2In crystal, with properties calculated at the GGA-PBE level.

Unit cell a=4.858 b=4.858 c=4.832 alpha=90.00 beta=90.00 gamma=90.00
Space group P4/mmm (No. 123)
Inequivalent atoms, fractional coordinates:
Sm 0.000 0.000 0.000
Er 0.000 0.500 0.500
In 0.500 0.500 0.000

ΔE to the lowest computed polymorph, meV per atom: 0.0
DFT formation energy, eV/atom: -0.262

5.
Below is a relaxed La8CuOs3Cl4 crystal, with properties calculated at the GGA-PBE level.

Unit cell a=14.454 b=8.346 c=9.052 alpha=90.00 beta=122.20 gamma=90.00
Space group C2/m (No. 12)
Inequivalent atoms, fractional coordinates:
La 0.019 0.239 0.296
La 0.236 0.000 0.709
La 0.242 0.500 0.704
Cu 0.000 0.500 0.500
Os 0.000 0.000 0.500
Os 0.250 0.250 0.500
Cl 0.000 0.000 0.000
Cl 0.000 0.500 0.000
Cl 0.250 0.250 0.000

Energy, eV per formula unit: -99.72

6.
Below is a relaxed Dy6Er5Tm crystal, with properties calculated at the GGA-PBE level.

Unit cell a=6.090 b=10.536 c=11.635 alpha=90.00 beta=100.00 gamma=90.00
Space group C2/m (No. 12)
Inequivalent atoms, fractional coordinates:
Dy 0.249 0.167 0.250
Dy 0.250 0.000 0.750
Er 0.000 0.167 0.500
Er 0.000 0.333 0.000
Er 0.000 0.500 0.500
Tm 0.000 0.000 0.000

ΔE to the lowest computed polymorph, meV per atom: 0.0
DFT formation energy, eV/atom: 0.020

7.
Below is a relaxed Pr4Er3ScS8 crystal, with properties calculated at the GGA-PBE level.

Unit cell a=7.8201 b=7.8201 c=20.0216 alpha=90.00 beta=90.00 gamma=120.00
Space group R-3m (No. 166, hexagonal axes)
Inequivalent atoms, fractional coordinates:
Pr 0.0000 0.0000 0.0000
Pr 0.0000 0.5000 0.0000
Er 0.0000 0.5000 0.5000
Sc 0.0000 0.0000 0.5000
S 0.0000 0.0000 0.2421
S 0.0060 0.5030 0.2408

Energy, eV per formula unit: -103.77

8.
Below is a relaxed ZnTc4 crystal, with properties calculated at the GGA-PBE level.

Unit cell a=4.417 b=4.417 c=4.417 alpha=90.00 beta=90.00 gamma=90.00
Space group Pm-3m (No. 221)
Inequivalent atoms, fractional coordinates:
Zn 0.000 0.000 0.000
Tc 0.000 0.000 0.500
Tc 0.500 0.500 0.500

ΔE to the lowest computed polymorph, meV per atom: 1709.3
DFT formation energy, eV/atom: 1.791

9.
Below is a relaxed TlCo2HgCl8 crystal, with properties calculated at the GGA-PBE level.

Unit cell a=6.4194 b=6.4194 c=28.0264 alpha=90.00 beta=90.00 gamma=120.00
Space group R-3 (No. 148, hexagonal axes)
Inequivalent atoms, fractional coordinates:
Tl 0.0000 0.0000 0.0000
Co 0.0000 0.0000 0.2487
Hg 0.0000 0.0000 0.5000
Cl 0.0000 0.0000 0.3264
Cl 0.0006 0.6568 0.5578

Energy, eV per formula unit: -39.08

10.
Below is a relaxed MgCu3B crystal, with properties calculated at the GGA-PBE level.

Unit cell a=4.538 b=4.538 c=4.538 alpha=90.00 beta=90.00 gamma=90.00
Space group Pm-3m (No. 221)
Inequivalent atoms, fractional coordinates:
Mg 0.000 0.000 0.000
Cu 0.000 0.000 0.500
B 0.500 0.500 0.500

ΔE to the lowest computed polymorph, meV per atom: 1736.3
DFT formation energy, eV/atom: 1.803

11.
Below is a relaxed PrNd2YSe6 crystal, with properties calculated at the GGA-PBE level.

Unit cell a=7.4394 b=7.4394 c=19.7966 alpha=90.00 beta=90.00 gamma=120.00
Space group R3 (No. 146, hexagonal axes)
Inequivalent atoms, fractional coordinates:
Pr 0.0000 0.0000 0.0000
Nd 0.0000 0.0000 0.2948
Nd 0.0000 0.0000 0.7980
Y 0.0000 0.0000 0.4958
Se 0.0007 0.7052 0.3993
Se 0.0351 0.3546 0.5649

Energy, eV per formula unit: -60.09

12.
Below is a relaxed FeCoPd3 crystal, with properties calculated at the GGA-PBE level.

Unit cell a=4.729 b=4.381 c=7.149 alpha=90.00 beta=108.89 gamma=90.00
Space group P2_1/m (No. 11)
Inequivalent atoms, fractional coordinates:
Fe 0.229 0.250 0.297
Co 0.383 0.750 0.904
Pd 0.049 0.250 0.905
Pd 0.175 0.750 0.512
Pd 0.448 0.250 0.709

ΔE to the lowest computed polymorph, meV per atom: 0.0
DFT formation energy, eV/atom: -0.033